1.
# MgVAu3 GGA-PBE relaxed
# Final energy: -17.8 eV for the cell shown
# Magnetic moment: 0.00 Bohr magnetons per cell
# ΔE_f: 0.56 eV/atom
data_MgVAu3
_space_group_name_H-M_alt 'P m -3 m'
_space_group_IT_number 221
_space_group_name_Hall '-P 4 2 3'
_cell_length_a 4.8968
_cell_length_b 4.8968
_cell_length_c 4.8968
_cell_angle_alpha 90.00
_cell_angle_beta 90.00
_cell_angle_gamma 90.00
loop_
_atom_site_label
_atom_site_type_symbol
_atom_site_fract_x
_atom_site_fract_y
_atom_site_fract_z
Mg1 Mg 0.0000 0.0000 0.0000
V1 V 0.5000 0.5000 0.5000
Au1 Au 0.0000 0.5000 0.5000

***

2.
# Ca2HoF7 GGA-PBE relaxed
# Final energy: -61.0 eV for the cell shown
# Magnetic moment: 0.00 Bohr magnetons per cell
data_Ca2HoF7
_space_group_name_H-M_alt 'P 1'
_space_group_IT_number 1
_space_group_name_Hall 'P 1'
_cell_length_a 3.8726
_cell_length_b 3.8823
_cell_length_c 9.8135
_cell_angle_alpha 89.97
_cell_angle_beta 89.98
_cell_angle_gamma 60.36
loop_
_atom_site_label
_atom_site_type_symbol
_atom_site_fract_x
_atom_site_fract_y
_atom_site_fract_z
Ca1 Ca 0.0000 0.0000 0.0000
Ca2 Ca 0.3329 0.3315 0.3279
Ho1 Ho 0.6680 0.6733 0.6544
F1 F 0.0002 0.0000 0.5295
F2 F 0.9995 0.9984 0.2391
F3 F 0.0005 0.0016 0.7704
F4 F 0.3334 0.3340 0.0802
F5 F 0.3341 0.3368 0.6462
F6 F 0.6665 0.6654 0.4094
F7 F 0.6667 0.6671 0.9037

***

> Which formula does entry 1 have?

MgVAu3